Computed, not measured: an optimized crystal structure of Zr2SbOs at the PBE level of DFT.

Cell: 7.6546 7.6546 6.1957 Å, 51.85 51.85 90.00°
With the nearest neighbours (Å) after each atom.
Fractional positions:
Sb (0.5000, 0.5000, 0.0000)  2 Os 3.01, 8 Zr 3.04-3.36
Sb (0.2500, 0.7500, 0.5000)  2 Os 3.01, 8 Zr 3.04-3.36
Os (0.0000, 0.0000, 0.0000)  4 Zr 2.60
Os (0.7500, 0.2500, 0.5000)  4 Zr 2.60
Zr (0.6668, 0.1250, 0.2500)  2 Os 2.60
Zr (0.0832, 0.6250, 0.2500)  2 Os 2.60
Zr (0.3750, 0.3332, 0.7500)  2 Os 2.60
Zr (0.8750, 0.9168, 0.7500)  2 Os 2.60

## Properties
total moment	0.00	Bohr magnetons per cell
formation energy (no corrections)	-0.010	eV per atom